## ZrInSn (PBE)

Data for crystalline ZrInSn at its relaxed geometry.

Lattice parameters (Å, degrees): 6.012 6.012 6.012 145.24 145.24 49.97
Atoms (fractional coordinates):
Zr 0.000 0.000 0.000
In 0.664 0.664 0.000
Sn 0.333 0.333 0.000

Total moment ... 0.00 μB/cell
Final energy ... -5.221 eV per atom
Energy of formation from the pure elements ... -125 meV per atom
Energy relative to the lowest polymorph listed for this composition ... 0.69 eV/f.u.
ρ ... 7672 kg/m3